Computed, not measured: a relaxed AgOs2Rh crystal at the GGA-PBE level of DFT.

Structure (POSCAR):
```
AgOs2Rh
1.0
0.5470 -4.0497 2.7102
3.0672 0.6115 3.7766
-3.8786 2.4824 -1.6846
Ag Os Rh
1 2 1
Cartesian
0.0000 0.0000 0.0000 Ag
-0.7623 -1.6431 2.1345 Os
0.4978 0.6875 2.6677 Os
1.8071 -1.7191 3.2434 Rh
```

Symmetry   No. 139
Total energy   -30.2 eV for the cell shown
Distance to the lowest polymorph of the same formula   8.49 kcal/mol of atoms
Magnetization   0.000 μB per formula unit